{
  "formula": "MnAsPO2",
  "functional": "PBE+U",
  "state": "optimized geometry",
  "lattice": [[3.727, 0.000, 0.000], [0.000, 3.727, 0.000], [0.000, 0.000, 5.002]],
  "species": ["Mn", "As", "P", "O", "O"],
  "fractional_positions": [[0.000, 0.000, 0.000], [0.500, 0.500, 0.500], [0.000, 0.000, 0.500], [0.000, 0.500, 0.000], [0.500, 0.000, 0.000]],
  "relative_energy_mev_per_atom": 100,
  "sg": "P4/mmm (123)",
  "final_energy_ev_per_atom": -5.720,
  "mass_density_g_cm3": 4.61,
  "n_ef_per_ev_cell": 2.40
}